--- w ---
8
Lattice="6.259 0.000 0.000 0.000 9.581 0.000 -1.313 0.000 2.740" Properties=species:S:1:pos:R:3 comment="MgTl2Mo | Alexandria | GGA-PBEsol | optimized geometry" m_tot_mub_per_fu=0.00 volume_a3_per_atom=20.54 n_ef_per_ev_atom=0.852 pbc="T T T"
Mg 0.000 0.000 0.000
Mg 3.130 4.791 0.000
Tl 0.908 2.395 1.370
Tl 0.908 7.186 1.370
Tl 4.038 2.395 1.370
Tl 4.038 7.186 1.370
Mo 0.000 4.791 0.000
Mo 3.130 0.000 0.000

--- x ---
8
Lattice="4.200 0.000 0.000 0.000 4.200 0.000 0.000 0.000 8.887" Properties=species:S:1:pos:R:3 comment="MgTl2Mo | Alexandria | GGA-PBEsol | optimized geometry" m_tot_mub_per_fu=0.00 volume_a3_per_atom=19.59 n_ef_per_ev_atom=0.378 pbc="T T T"
Mg 0.000 0.000 0.000
Mg 2.100 2.100 4.444
Tl 0.000 2.100 2.222
Tl 0.000 2.100 6.666
Tl 2.100 0.000 2.222
Tl 2.100 0.000 6.666
Mo 0.000 0.000 4.444
Mo 2.100 2.100 0.000

Calculated relative energies: w 2.7; x 0.0, given in kJ/mol of atoms